[1]
TbNdY4: relaxed, PBE-GGA.

## Properties
Energy of formation from the pure elements, eV/atom: 0.195
VASP energy, eV for the cell shown: -34.08

Cell: 3.447 5.915 9.924 Å, 90.00 90.00 90.00°
Space group Pmmm (No. 47)
One atom of each set of equivalent atoms:
Tb (0.000, 0.000, 0.000)
Nd (0.500, 0.500, 0.500)
Y (0.000, 0.500, 0.184)
Y (0.500, 0.000, 0.312)

***

[2]
Tb8NdY2: relaxed, PBE-GGA.

## Properties
Energy of formation from the pure elements, eV/atom: 0.115
VASP energy, eV for the cell shown: -106.94

Cell: 5.569 8.142 15.965 Å, 90.00 90.00 90.00°
Space group Immm (No. 71)
One atom of each set of equivalent atoms:
Tb (0.000, 0.000, 0.164)
Tb (0.000, 0.206, 0.363)
Tb (0.000, 0.294, 0.000)
Nd (0.000, 0.500, 0.500)
Y (0.000, 0.500, 0.200)

***

[3]
Tb12NdY2: relaxed, PBE-GGA.

## Properties
Energy of formation from the pure elements, eV/atom: 0.105
VASP energy, eV for the cell shown: -286.72

Cell: 7.161 11.225 24.433 Å, 90.00 94.24 90.00°
Space group C2/m (No. 12)
One atom of each set of equivalent atoms:
Tb (0.018, 0.250, 0.075)
Tb (0.113, 0.249, 0.445)
Tb (0.141, 0.500, 0.575)
Tb (0.142, 0.000, 0.574)
Tb (0.167, 0.250, 0.670)
Tb (0.199, 0.249, 0.798)
Tb (0.215, 0.000, 0.862)
Tb (0.215, 0.500, 0.861)
Nd (0.250, 0.000, 0.000)
Y (0.068, 0.000, 0.273)
Y (0.069, 0.500, 0.273)

***

[4]
Tb4Nd2Y5: relaxed, PBE-GGA.

## Properties
Energy of formation from the pure elements, eV/atom: 0.161
VASP energy, eV for the cell shown: -117.22

Cell: 16.619 6.708 6.697 Å, 90.00 99.27 90.00°
Space group C2/m (No. 12)
One atom of each set of equivalent atoms:
Tb (0.087, 0.000, 0.405)
Tb (0.244, 0.500, 0.802)
Nd (0.201, 0.500, 0.297)
Y (0.000, 0.500, 0.500)
Y (0.089, 0.239, 0.908)

***

[5]
Tb5Nd2Y: relaxed, PBE-GGA.

## Properties
Energy of formation from the pure elements, eV/atom: 0.148
VASP energy, eV for the cell shown: -75.93

Cell: 6.697 8.923 9.632 Å, 88.60 85.81 68.06°
Space group P-1 (No. 2)
One atom of each set of equivalent atoms:
Tb (0.054, 0.255, 0.113)
Tb (0.183, 0.514, 0.407)
Tb (0.300, 0.515, 0.091)
Tb (0.310, 0.744, 0.611)
Tb (0.338, 0.328, 0.749)
Nd (0.262, 0.111, 0.428)
Nd (0.374, 0.888, 0.928)
Y (0.059, 0.879, 0.249)

***

[6]
TbNd8Y2: relaxed, PBE-GGA.

## Properties
Energy of formation from the pure elements, eV/atom: 0.136
VASP energy, eV for the cell shown: -108.42

Cell: 9.208 16.704 6.026 Å, 90.00 124.08 90.00°
Space group C2/m (No. 12)
One atom of each set of equivalent atoms:
Tb (0.000, 0.000, 0.000)
Nd (0.000, 0.205, 0.000)
Nd (0.076, 0.500, 0.796)
Nd (0.217, 0.118, 0.683)
Y (0.000, 0.310, 0.500)

***

[7]
Tb3NdY8: relaxed, PBE-GGA.

## Properties
Energy of formation from the pure elements, eV/atom: 0.657
VASP energy, eV for the cell shown: -124.98

Cell: 8.714 8.714 11.427 Å, 90.00 90.00 90.00°
Space group I-42m (No. 121)
One atom of each set of equivalent atoms:
Tb (0.000, 0.000, 0.000)
Tb (0.000, 0.500, 0.250)
Nd (0.000, 0.000, 0.500)
Y (0.126, 0.126, 0.246)
Y (0.245, 0.245, 0.991)

***

[8]
Tb3Nd8Y3: relaxed, PBE-GGA.

## Properties
Energy of formation from the pure elements, eV/atom: 0.105
VASP energy, eV for the cell shown: -139.91

Cell: 5.716 10.985 15.251 Å, 90.00 90.00 90.00°
Space group Immm (No. 71)
One atom of each set of equivalent atoms:
Tb (0.000, 0.000, 0.000)
Tb (0.000, 0.500, 0.319)
Nd (0.000, 0.158, 0.275)
Nd (0.000, 0.337, 0.104)
Y (0.000, 0.000, 0.500)
Y (0.000, 0.304, 0.500)

***

[9]
TbNd2Y2: relaxed, PBE-GGA.

## Properties
Energy of formation from the pure elements, eV/atom: 0.016
VASP energy, eV for the cell shown: -108.05

Cell: 15.965 6.370 6.849 Å, 90.00 103.97 90.00°
Space group C2/c (No. 15)
One atom of each set of equivalent atoms:
Tb (0.000, 0.083, 0.250)
Nd (0.199, 0.085, 0.649)
Y (0.098, 0.416, 0.952)

***

[10]
Tb4Nd3Y2: relaxed, PBE-GGA.

## Properties
Energy of formation from the pure elements, eV/atom: 0.096
VASP energy, eV for the cell shown: -179.55

Cell: 16.694 11.713 6.130 Å, 90.00 96.96 90.00°
Space group C2/c (No. 15)
One atom of each set of equivalent atoms:
Tb (0.048, 0.135, 0.017)
Tb (0.215, 0.361, 0.848)
Nd (0.000, 0.395, 0.750)
Nd (0.167, 0.101, 0.582)
Y (0.119, 0.366, 0.314)

***

[11]
Tb12Nd7Y: relaxed, PBE-GGA.

## Properties
Energy of formation from the pure elements, eV/atom: 0.625
VASP energy, eV for the cell shown: -165.81

Cell: 11.384 11.384 11.384 Å, 90.00 90.00 90.00°
Space group Im-3 (No. 204)
One atom of each set of equivalent atoms:
Tb (0.000, 0.248, 0.247)
Nd (0.000, 0.000, 0.500)
Nd (0.250, 0.250, 0.250)
Y (0.000, 0.000, 0.000)

***

[12]
Tb7Nd16Y6: relaxed, PBE-GGA.

## Properties
Energy of formation from the pure elements, eV/atom: 0.200
VASP energy, eV for the cell shown: -566.72

Cell: 16.040 16.040 16.040 Å, 90.00 90.00 90.00°
Space group Fm-3m (No. 225)
One atom of each set of equivalent atoms:
Tb (0.000, 0.000, 0.000)
Tb (0.000, 0.250, 0.250)
Nd (0.124, 0.124, 0.124)
Nd (0.151, 0.151, 0.349)
Y (0.000, 0.000, 0.270)